{
  "formula": "CeErMgSc",
  "functional": "GGA-PBE",
  "state": "optimized geometry",
  "lattice_angstrom": [[7.588, 0.000, 0.000], [0.000, 7.588, 0.000], [0.000, 0.000, 7.588]],
  "species": ["Ce", "Ce", "Ce", "Ce", "Er", "Er", "Er", "Er", "Mg", "Mg", "Mg", "Mg", "Sc", "Sc", "Sc", "Sc"],
  "fractional_positions": [[0.000, 0.000, 0.000], [0.000, 0.500, 0.500], [0.500, 0.000, 0.500], [0.500, 0.500, 0.000], [0.000, 0.000, 0.500], [0.000, 0.500, 0.000], [0.500, 0.000, 0.000], [0.500, 0.500, 0.500], [0.250, 0.250, 0.250], [0.250, 0.750, 0.750], [0.750, 0.250, 0.750], [0.750, 0.750, 0.250], [0.250, 0.250, 0.750], [0.250, 0.750, 0.250], [0.750, 0.250, 0.250], [0.750, 0.750, 0.750]],
  "delta_e_f_ev_per_atom": 0.0675,
  "magmom_total_mub_per_cell": 5.43
}


{
  "formula": "TmThGe2O8",
  "functional": "GGA-PBE",
  "state": "optimized geometry",
  "lattice_angstrom": [[-3.568, 3.568, 3.285], [3.568, -3.568, 3.285], [3.568, 3.568, -3.285]],
  "species": ["Tm", "Th", "Ge", "Ge", "O", "O", "O", "O", "O", "O", "O", "O"],
  "fractional_positions": [[0.000, 0.000, 0.000], [0.750, 0.250, 0.500], [0.250, 0.750, 0.500], [0.500, 0.500, 0.000], [0.071, 0.384, 0.314], [0.071, 0.757, 0.686], [0.135, 0.315, 0.820], [0.243, 0.929, 0.314], [0.495, 0.315, 0.180], [0.616, 0.929, 0.686], [0.685, 0.505, 0.820], [0.685, 0.865, 0.180]],
  "energy_ev_per_atom": -7.57,
  "magmom_total_mub_per_cell": 0.00
}


{
  "formula": "Pr5HoTm4",
  "functional": "GGA-PBE",
  "state": "optimized geometry",
  "lattice_angstrom": [[4.165, 0.000, 0.000], [0.000, 4.165, 0.000], [0.000, 0.000, 19.186]],
  "species": ["Pr", "Pr", "Pr", "Pr", "Pr", "Ho", "Tm", "Tm", "Tm", "Tm"],
  "fractional_positions": [[0.000, 0.000, 0.000], [0.000, 0.000, 0.200], [0.000, 0.000, 0.399], [0.000, 0.000, 0.601], [0.000, 0.000, 0.800], [0.500, 0.500, 0.500], [0.500, 0.500, 0.100], [0.500, 0.500, 0.300], [0.500, 0.500, 0.700], [0.500, 0.500, 0.900]],
  "delta_e_f_ev_per_atom": 0.0825,
  "magmom_total_mub_per_cell": 0.00
}


{
  "formula": "NdSm2YAs4",
  "functional": "GGA-PBE",
  "state": "optimized geometry",
  "lattice_angstrom": [[7.285, 0.000, 0.000], [0.000, 4.210, 0.000], [-2.428, 0.000, 6.870]],
  "species": ["Nd", "Sm", "Sm", "Y", "As", "As", "As", "As"],
  "fractional_positions": [[0.000, 0.000, 0.000], [0.000, 0.500, 0.500], [0.500, 0.000, 0.500], [0.500, 0.500, 0.000], [0.254, 0.500, 0.251], [0.255, 0.000, 0.752], [0.745, 0.000, 0.248], [0.746, 0.500, 0.749]],
  "delta_e_f_ev_per_atom": -1.5269,
  "magmom_total_mub_per_cell": 0.00
}


{
  "formula": "Rb2SrI2F2",
  "functional": "GGA-PBE",
  "state": "optimized geometry",
  "lattice_angstrom": [[4.941, 0.000, 0.000], [0.000, 4.941, 0.000], [0.000, 0.000, 19.254]],
  "species": ["Rb", "Rb", "Rb", "Rb", "Sr", "Sr", "I", "I", "I", "I", "F", "F", "F", "F"],
  "fractional_positions": [[0.000, 0.000, 0.123], [0.000, 0.000, 0.877], [0.500, 0.500, 0.377], [0.500, 0.500, 0.623], [0.000, 0.000, 0.500], [0.500, 0.500, 0.000], [0.000, 0.000, 0.328], [0.000, 0.000, 0.672], [0.500, 0.500, 0.172], [0.500, 0.500, 0.828], [0.000, 0.500, 0.000], [0.000, 0.500, 0.500], [0.500, 0.000, 0.000], [0.500, 0.000, 0.500]],
  "energy_ev_per_atom": -3.91,
  "magmom_total_mub_per_cell": 0.00
}


{
  "formula": "Pa4Ge3Ir",
  "functional": "GGA-PBE",
  "state": "optimized geometry",
  "lattice_angstrom": [[4.035, 0.000, 0.000], [0.000, 4.176, 0.000], [0.000, 0.000, 10.733]],
  "species": ["Pa", "Pa", "Pa", "Pa", "Ge", "Ge", "Ge", "Ir"],
  "fractional_positions": [[0.000, 0.000, 0.000], [0.000, 0.500, 0.274], [0.500, 0.000, 0.494], [0.500, 0.500, 0.775], [0.000, 0.000, 0.728], [0.000, 0.500, 0.545], [0.500, 0.500, 0.052], [0.500, 0.000, 0.225]],
  "delta_e_f_ev_per_atom": -0.5324,
  "magmom_total_mub_per_cell": 0.00
}